1.
DFT (PBE) results for a geometry-optimized Tb2PmCd6 structure.

abc: 3.402 8.732 15.322
angles: 90.00 90.00 90.00
Space group Immm (No. 71)
Symmetry-distinct sites (fractional):
Tb (0.000, 0.000, 0.150) (multiplicity 4)
Pm (0.000, 0.500, 0.000) (multiplicity 2)
Cd (0.000, 0.173, 0.330) (multiplicity 8)
Cd (0.000, 0.329, 0.500) (multiplicity 4)

Values from the calculation:
Total magnetization in μB/f.u.: 0.00
Energy above the most stable polymorph in this dataset in eV/f.u.: 0.56
Crystal system: orthorhombic
Formation energy from the elements in meV per atom: -266
Final energy in Ry per atom: -0.1788


2.
DFT (PBE) results for a geometry-optimized TlBi2Sb structure.

abc: 4.2977 4.2977 25.0765
angles: 90.00 90.00 120.00
Space group R-3m (No. 166, hexagonal axes)
Symmetry-distinct sites (fractional):
Tl (0.0000, 0.0000, 0.0000) (multiplicity 3)
Bi (0.0000, 0.0000, 0.2442) (multiplicity 6)
Sb (0.0000, 0.0000, 0.5000) (multiplicity 3)

Values from the calculation:
Total magnetization in μB/f.u.: 0.00
Energy above the most stable polymorph in this dataset in eV/f.u.: 0.02
Crystal system: trigonal
Final energy in Ry per atom: -0.2545